(1)
VASP calculation (GGA-PBE) on Mg2Mo after structural relaxation.

Cell lengths 5.048, 5.048, 4.924 Å; angles 90.00, 90.00, 120.00 degrees
Atoms (fractional coordinates):
Mg: 0.000 0.000 0.000
Mg: 0.000 0.352 0.500
Mg: 0.352 0.000 0.500
Mg: 0.648 0.648 0.500
Mo: 0.333 0.667 0.000
Mo: 0.667 0.333 0.000

Its energy relative to the lowest polymorph listed for this composition is 1.91 kcal/mol of atoms. Its total magnetization is 0.00 μB/atom.

(2)
VASP calculation (GGA-PBE) on TaZn2 after structural relaxation.

Cell lengths 8.257, 4.351, 11.100 Å; angles 90.00, 108.76, 90.00 degrees
Atoms (fractional coordinates):
Ta: 0.073 0.250 0.218
Ta: 0.088 0.250 0.720
Ta: 0.253 0.750 0.434
Ta: 0.256 0.750 0.187
Ta: 0.744 0.250 0.813
Ta: 0.747 0.250 0.566
Ta: 0.912 0.750 0.280
Ta: 0.927 0.750 0.782
Zn: 0.043 0.250 0.458
Zn: 0.079 0.250 0.968
Zn: 0.272 0.750 0.931
Zn: 0.291 0.750 0.699
Zn: 0.390 0.250 0.103
Zn: 0.398 0.250 0.610
Zn: 0.417 0.250 0.364
Zn: 0.431 0.250 0.865
Zn: 0.569 0.750 0.135
Zn: 0.583 0.750 0.636
Zn: 0.602 0.750 0.390
Zn: 0.610 0.750 0.897
Zn: 0.709 0.250 0.301
Zn: 0.728 0.250 0.069
Zn: 0.921 0.750 0.032
Zn: 0.957 0.750 0.542

Its total magnetization is 0.00 μB/atom. Its formation enthalpy at 0 K is 7 kJ/mol of formula units.

(3)
VASP calculation (GGA-PBE) on SmBNO after structural relaxation.

Cell lengths 3.627, 3.627, 7.255 Å; angles 90.00, 90.00, 90.00 degrees
Atoms (fractional coordinates):
Sm: 0.250 0.250 0.177
Sm: 0.750 0.750 0.823
B: 0.250 0.750 0.500
B: 0.750 0.250 0.500
N: 0.250 0.250 0.519
N: 0.750 0.750 0.481
O: 0.250 0.750 0.000
O: 0.750 0.250 0.000

Its energy relative to the lowest polymorph listed for this composition is 21.49 kcal/mol of atoms. Its total magnetization is 0.00 μB/atom.

(4)
VASP calculation (GGA-PBE) on HoPuW after structural relaxation.

Cell lengths 4.719, 4.719, 4.719 Å; angles 60.00, 60.00, 60.00 degrees
Atoms (fractional coordinates):
Ho: 0.000 0.000 0.000
Pu: 0.250 0.250 0.250
W: 0.500 0.500 0.500

Its energy relative to the lowest polymorph listed for this composition is 0.00 kcal/mol of atoms. Its total magnetization is 1.82 μB/atom. Its formation enthalpy at 0 K is 371 kJ/mol of formula units.

(5)
VASP calculation (GGA-PBE) on TaPdNO after structural relaxation.

Cell lengths 5.101, 7.410, 4.895 Å; angles 90.00, 90.00, 90.00 degrees
Atoms (fractional coordinates):
Ta: 0.051 0.168 0.000
Ta: 0.449 0.168 0.500
Ta: 0.551 0.832 0.000
Ta: 0.949 0.832 0.500
Pd: 0.136 0.573 0.110
Pd: 0.364 0.573 0.610
Pd: 0.636 0.427 0.110
Pd: 0.864 0.427 0.610
N: 0.123 0.283 0.372
N: 0.377 0.283 0.872
N: 0.623 0.717 0.372
N: 0.877 0.717 0.872
O: 0.247 0.969 0.254
O: 0.253 0.969 0.754
O: 0.747 0.031 0.254
O: 0.753 0.031 0.754

Its energy relative to the lowest polymorph listed for this composition is 4.42 kcal/mol of atoms. Its total magnetization is 0.00 μB/atom.

(6)
VASP calculation (GGA-PBE) on Ho3Si3Ni2 after structural relaxation.

Cell lengths 5.449, 5.449, 13.815 Å; angles 90.00, 90.00, 135.40 degrees
Atoms (fractional coordinates):
Ho: 0.089 0.911 0.610
Ho: 0.089 0.911 0.890
Ho: 0.371 0.629 0.750
Ho: 0.629 0.371 0.250
Ho: 0.911 0.089 0.110
Ho: 0.911 0.089 0.390
Si: 0.329 0.671 0.250
Si: 0.381 0.619 0.538
Si: 0.381 0.619 0.962
Si: 0.619 0.381 0.038
Si: 0.619 0.381 0.462
Si: 0.671 0.329 0.750
Ni: 0.203 0.797 0.096
Ni: 0.203 0.797 0.404
Ni: 0.797 0.203 0.596
Ni: 0.797 0.203 0.904

Its total magnetization is 0.00 μB/atom. As for the calculated total energy: -5.98 eV per atom.

(7)
VASP calculation (GGA-PBE) on Tb3Mg3Cd2 after structural relaxation.

Cell lengths 6.735, 6.735, 5.279 Å; angles 90.00, 90.00, 120.00 degrees
Atoms (fractional coordinates):
Tb: 0.171 0.341 0.000
Tb: 0.171 0.829 0.000
Tb: 0.659 0.829 0.000
Mg: 0.345 0.172 0.500
Mg: 0.828 0.172 0.500
Mg: 0.828 0.655 0.500
Cd: 0.333 0.667 0.500
Cd: 0.667 0.333 0.000

Its energy relative to the lowest polymorph listed for this composition is 3.06 kcal/mol of atoms. Its total magnetization is 0.00 μB/atom.

(8)
VASP calculation (GGA-PBE) on BeCoCuSi after structural relaxation.

Cell lengths 3.898, 3.898, 3.898 Å; angles 60.00, 60.00, 60.00 degrees
Atoms (fractional coordinates):
Be: 0.000 0.000 0.000
Co: 0.500 0.500 0.500
Cu: 0.250 0.250 0.250
Si: 0.750 0.750 0.750

Its energy relative to the lowest polymorph listed for this composition is 3.46 kcal/mol of atoms. Its total magnetization is 0.00 μB/atom.